[1]
First-principles (PBE) data for a relaxed structure of TlInHg2, as listed in Alexandria via LeMat-Bulk.

Cell: 11.6368 11.6368 11.6368 Å, 157.25 157.25 32.39°
With the nearest neighbours (Å) after each atom.
Element x y z (fractional)
Tl  0.0000  0.0000  0.0000  4 Hg 3.24, 4 In 3.25
Tl  0.7500  0.2500  0.5000  4 Hg 3.24, 4 In 3.25
In  0.2500  0.7500  0.5000  4 Hg 3.22, 4 Tl 3.25
In  0.5000  0.5000  0.0000  4 Hg 3.22, 4 Tl 3.25
Hg  0.1328  0.6250  0.0078  4 Hg 3.19-3.30, 2 In 3.22, 2 Tl 3.24
Hg  0.3750  0.3828  0.5078  4 Hg 3.19-3.30, 2 In 3.22, 2 Tl 3.24
Hg  0.6172  0.1250  0.9922  4 Hg 3.19-3.30, 2 In 3.22, 2 Tl 3.24
Hg  0.8750  0.8672  0.4922  4 Hg 3.19-3.30, 2 In 3.22, 2 Tl 3.24

## Properties
Crystal system   tetragonal
Space group   No. 122



[2]
First-principles (PBE) data for a relaxed structure of TlIn12Hg4, as listed in Alexandria via LeMat-Bulk.

Cell: 8.7005 8.7225 8.7497 Å, 109.44 109.46 109.26°
With the nearest neighbours (Å) after each atom.
Element x y z (fractional)
Tl  0.0000  0.0000  0.0000  12 In 3.83-3.86
In  0.1497  0.5018  0.3502  2 Hg 2.90, 2 In 3.01-3.04
In  0.1515  0.8004  0.6501  2 Hg 2.89, 2 In 3.01-3.04
In  0.2000  0.3495  0.8478  2 Hg 2.89-2.90, 2 In 3.01-3.04
In  0.3496  0.8487  0.1989  2 Hg 2.89-2.90, 2 In 3.01-3.04
In  0.3519  0.1509  0.5018  2 Hg 2.90, 2 In 3.01-3.04
In  0.4984  0.6487  0.8482  2 Hg 2.89-2.90, 2 In 3.01-3.04
In  0.5016  0.3513  0.1518  2 Hg 2.89-2.90, 2 In 3.01-3.04
In  0.6481  0.8491  0.4982  2 Hg 2.90, 2 In 3.01-3.04
In  0.6504  0.1513  0.8011  2 Hg 2.89-2.90, 2 In 3.01-3.04
In  0.8000  0.6505  0.1522  2 Hg 2.89-2.90, 2 In 3.01-3.04
In  0.8485  0.1996  0.3499  2 Hg 2.89, 2 In 3.01-3.04
In  0.8503  0.4982  0.6498  2 Hg 2.90, 2 In 3.01-3.04
Hg  0.0000  0.0000  0.5000  6 In 2.89-2.90
Hg  0.0000  0.5000  0.0000  6 In 2.89-2.90
Hg  0.5000  0.0000  0.0000  6 In 2.89-2.90
Hg  0.5000  0.5000  0.5000  6 In 2.89-2.90

## Properties
Crystal system   triclinic
Space group   No. 2



[3]
First-principles (PBE) data for a relaxed structure of Tl15InHg4, as listed in Alexandria via LeMat-Bulk.

Cell: 4.8811 4.8811 24.7139 Å, 90.00 90.00 90.00°
With the nearest neighbours (Å) after each atom.
Element x y z (fractional)
Tl  0.0000  0.0000  0.0000  4 In 3.45, 8 Tl 3.48
Tl  0.0000  0.0000  0.2008  4 Hg 3.45, 8 Tl 3.48
Tl  0.0000  0.0000  0.4006  4 Hg 3.45, 8 Tl 3.46-3.47
Tl  0.0000  0.0000  0.5994  4 Hg 3.45, 8 Tl 3.46-3.47
Tl  0.0000  0.0000  0.7992  4 Hg 3.45, 8 Tl 3.48
Tl  0.0000  0.5000  0.1005  8 Tl 3.45-3.48, 2 In 3.48, 2 Hg 3.50
Tl  0.0000  0.5000  0.3009  8 Tl 3.45-3.48, 4 Hg 3.46
Tl  0.0000  0.5000  0.5000  8 Tl 3.45-3.46, 4 Hg 3.47
Tl  0.0000  0.5000  0.6991  8 Tl 3.45-3.48, 4 Hg 3.46
Tl  0.0000  0.5000  0.8995  8 Tl 3.45-3.48, 2 In 3.48, 2 Hg 3.50
Tl  0.5000  0.0000  0.1005  8 Tl 3.45-3.48, 2 In 3.48, 2 Hg 3.50
Tl  0.5000  0.0000  0.3009  8 Tl 3.45-3.48, 4 Hg 3.46
Tl  0.5000  0.0000  0.5000  8 Tl 3.45-3.46, 4 Hg 3.47
Tl  0.5000  0.0000  0.6991  8 Tl 3.45-3.48, 4 Hg 3.46
Tl  0.5000  0.0000  0.8995  8 Tl 3.45-3.48, 2 In 3.48, 2 Hg 3.50
In  0.5000  0.5000  0.0000  12 Tl 3.45-3.48
Hg  0.5000  0.5000  0.2017  12 Tl 3.45-3.50
Hg  0.5000  0.5000  0.4000  12 Tl 3.45-3.47
Hg  0.5000  0.5000  0.6000  12 Tl 3.45-3.47
Hg  0.5000  0.5000  0.7983  12 Tl 3.45-3.50

## Properties
Crystal system   tetragonal
Space group   No. 123



Number 1: ΔE_f 0.04 eV/atom, total energy -1.385 eV/atom. Number 2: ΔE_f 0.11 eV/atom, total energy -2.033 eV/atom. Number 3: ΔE_f 0.02 eV/atom, total energy -1.952 eV/atom.